No. 1
Ca12Ac3Mg | PBE-GGA | optimized geometry

Properties
- ΔH_f (0 K): 0.92 eV per formula unit
- Density of states at the Fermi level: 24.1 states/eV/cell
- Space group: P4/mmm, No. 123
- Energy: -37.02 eV for the cell shown

```
16
Lattice="5.444 0.000 0.000 0.000 5.444 0.000 0.000 0.000 22.423" Properties=species:S:1:pos:R:3 pbc="T T T"
Ca 2.722 2.722 5.365
Ca 2.722 2.722 0.000
Ca 0.000 2.722 19.902
Ca 0.000 2.722 8.306
Ca 2.722 0.000 2.521
Ca 2.722 0.000 19.902
Ca 2.722 2.722 17.058
Ca 2.722 0.000 14.117
Ca 2.722 0.000 8.306
Ca 0.000 2.722 14.117
Ca 0.000 2.722 2.521
Ca 2.722 2.722 11.212
Ac 0.000 0.000 16.978
Ac 0.000 0.000 11.212
Ac 0.000 0.000 5.446
Mg 0.000 0.000 0.000
```

No. 2
Ca6AcMg | PBE-GGA | optimized geometry

Properties
- ΔH_f (0 K): 0.35 eV per formula unit
- Density of states at the Fermi level: 11.6 states/eV/cell
- Space group: P4/mmm, No. 123
- Energy: -17.36 eV for the cell shown

```
8
Lattice="5.409 0.000 0.000 0.000 5.409 0.000 0.000 0.000 10.881" Properties=species:S:1:pos:R:3 pbc="T T T"
Mg 0.000 0.000 5.441
Ca 2.704 0.000 2.893
Ca 2.704 0.000 7.988
Ca 2.704 2.704 0.000
Ca 0.000 2.704 2.893
Ca 0.000 2.704 7.988
Ca 2.704 2.704 5.441
Ac 0.000 0.000 0.000
```

No. 3
CaAcMg2 | PBE-GGA | optimized geometry

Properties
- ΔH_f (0 K): -0.37 eV per formula unit
- Density of states at the Fermi level: 6.8 states/eV/cell
- Space group: Fm-3m, No. 225
- Energy: -9.67 eV for the cell shown

```
4
Lattice="-3.141 4.772 -0.532 -5.459 -0.337 -1.733 -4.255 1.061 3.699" Properties=species:S:1:pos:R:3 pbc="T T T"
Mg -6.428 2.748 0.717
Mg -3.141 4.772 -0.532
Ac -3.214 1.374 0.358
Ca -9.641 4.122 1.075
```

No. 4
CaAc4Mg | PBE-GGA | optimized geometry

Properties
- ΔH_f (0 K): 1.94 eV per formula unit
- Density of states at the Fermi level: 9.4 states/eV/cell
- Distance to the lowest polymorph of the same formula: 0.334 eV/atom
- Space group: F-43m, No. 216
- Energy: -18.09 eV for the cell shown

```
6
Lattice="-2.240 6.481 -2.425 -4.590 0.389 -5.629 -6.883 2.098 1.059" Properties=species:S:1:pos:R:3 pbc="T T T"
Ac -8.579 5.609 -4.375
Ac -5.122 4.556 -4.907
Ac -6.273 5.414 -1.549
Ac -7.453 2.355 -3.158
Mg 0.000 0.000 0.000
Ca -3.428 2.242 -1.749
```